A plane-wave DFT calculation with PBE-GGA was carried out for an optimized crystal structure of GdAs2Au.

Lattice parameters (Å, degrees): 3.8526 3.8526 25.3693 90.00 90.00 120.00
Space group R-3m (No. 166, hexagonal axes)
Unique sites:
1 Gd 0.0000 0.0000 0.0000 [3 per cell]
2 As 0.0000 0.0000 0.1136 [6 per cell]
3 Au 0.0000 0.0000 0.5000 [3 per cell]

Output
Formation energy from the elements, kJ/mol of formula units: 41
Total magnetic moment, μB/f.u.: 7.33
D(E_F), states/eV/atom: 1.08